Entry from the Alexandria database: Cs2TlZnF5 after structural relaxation (PBE).

Properties
final energy: -3.986 eV/atom
magnetization: 0.1 μB per formula unit
formation energy from raw total energies: -2.352 eV per atom

abc: 8.087 8.087 12.520
angles: 90.00 90.00 90.00
Space group I4/mcm (No. 140)
Inequivalent atoms, fractional coordinates:
Cs  0.178  0.322  0.000
Tl  0.000  0.000  0.250
Zn  0.000  0.500  0.250
F  0.000  0.000  0.000
F  0.137  0.363  0.340